Below is NaU3Se6 after structural relaxation, with properties calculated at the PBE level.

Calculated values
Density of states at the Fermi level, states/eV/f.u.: 17.62
VASP energy, eV per atom: -6.7516
Symmetry: Cmc2_1, No. 36

Cell and atoms, written as POSCAR:
```
NaU3Se6
1.0
5.481 -6.799 0.000
5.481 6.799 0.000
0.000 0.000 7.148
Na U Se
2 6 12
direct
0.175 0.825 0.500
0.825 0.175 0.000
0.077 0.284 0.492
0.284 0.077 0.992
0.401 0.599 0.881
0.599 0.401 0.381
0.716 0.923 0.492
0.923 0.716 0.992
0.006 0.994 0.753
0.090 0.547 0.731
0.236 0.764 0.125
0.299 0.372 0.183
0.372 0.299 0.683
0.453 0.910 0.731
0.547 0.090 0.231
0.628 0.701 0.183
0.701 0.628 0.683
0.764 0.236 0.625
0.910 0.453 0.231
0.994 0.006 0.253
```

=====

Below is Pu3Th3Tl5 after structural relaxation, with properties calculated at the PBE level.

Calculated values
Formation energy, eV per atom: 0.31
Density of states at the Fermi level, states/eV/f.u.: 21.19
Symmetry: P-62m, No. 189

Cell and atoms, written as POSCAR:
```
Pu3Th3Tl5
1.0
10.679 0.000 0.000
-5.339 9.248 0.000
0.000 0.000 3.401
Pu Th Tl
3 3 5
direct
0.000 0.161 0.000
0.161 0.000 0.000
0.839 0.839 0.000
0.000 0.392 0.500
0.392 0.000 0.500
0.608 0.608 0.500
0.000 0.658 0.000
0.333 0.667 0.000
0.342 0.342 0.000
0.658 0.000 0.000
0.667 0.333 0.000
```

=====

Below is BaScTl2 after structural relaxation, with properties calculated at the PBE level.

Calculated values
Formation energy, eV per atom: -0.17
Density of states at the Fermi level, states/eV/f.u.: 3.25
Symmetry: Pm, No. 6

Cell and atoms, written as POSCAR:
```
BaScTl2
1.0
3.892 0.000 0.000
0.000 4.816 0.000
-1.882 0.000 7.087
Ba Sc Tl
1 1 2
direct
0.000 0.000 0.000
0.726 0.500 0.434
0.252 0.000 0.485
0.393 0.500 0.780
```

=====

Below is HfGaNi3 after structural relaxation, with properties calculated at the PBE level.

Calculated values
Formation energy, eV per atom: 1.06
Density of states at the Fermi level, states/eV/f.u.: 3.30
Symmetry: Pm-3m, No. 221

Cell and atoms, written as POSCAR:
```
HfGaNi3
1.0
4.605 0.000 0.000
0.000 4.605 0.000
0.000 0.000 4.605
Hf Ga Ni
1 1 3
direct
0.000 0.000 0.000
0.500 0.500 0.500
0.000 0.000 0.500
0.000 0.500 0.000
0.500 0.000 0.000
```

=====

Below is KAcF5 after structural relaxation, with properties calculated at the PBE level.

Calculated values
Density of states at the Fermi level, states/eV/f.u.: 5.57
VASP energy, eV per atom: -5.2346
Symmetry: P4/mmm, No. 123

Cell and atoms, written as POSCAR:
```
KAcF5
1.0
4.180 0.000 0.000
0.000 4.180 0.000
0.000 0.000 6.562
K Ac F
1 1 5
direct
0.000 0.000 0.000
0.500 0.500 0.500
0.000 0.000 0.500
0.000 0.500 0.267
0.000 0.500 0.733
0.500 0.000 0.267
0.500 0.000 0.733
```

=====

Below is VReAs2 after structural relaxation, with properties calculated at the PBE level.

Calculated values
Formation energy, eV per atom: 0.17
Density of states at the Fermi level, states/eV/f.u.: 3.45
Symmetry: R-3m, No. 166

Cell and atoms, written as POSCAR:
```
VReAs2
1.0
2.905 0.000 0.000
-1.453 2.516 0.000
0.000 0.000 26.111
V Re As
3 3 6
direct
0.000 0.000 0.000
0.333 0.667 0.667
0.667 0.333 0.333
0.000 0.000 0.500
0.333 0.667 0.167
0.667 0.333 0.833
0.000 0.000 0.404
0.000 0.000 0.596
0.333 0.667 0.071
0.333 0.667 0.262
0.667 0.333 0.738
0.667 0.333 0.929
```

=====

Below is Be2TcW after structural relaxation, with properties calculated at the PBE level.

Calculated values
Formation energy, eV per atom: 0.09
Density of states at the Fermi level, states/eV/f.u.: 2.88
Symmetry: Pmmm, No. 47

Cell and atoms, written as POSCAR:
```
Be2TcW
1.0
2.991 0.000 0.000
0.000 3.054 0.000
0.000 0.000 5.186
Be Tc W
2 1 1
direct
0.000 0.000 0.226
0.000 0.000 0.774
0.500 0.500 0.000
0.500 0.500 0.500
```

=====

Below is Sb4F after structural relaxation, with properties calculated at the PBE level.

Calculated values
Density of states at the Fermi level, states/eV/f.u.: 3.98
VASP energy, eV per atom: -3.6930
Symmetry: Pm-3m, No. 221

Cell and atoms, written as POSCAR:
```
Sb4F
1.0
4.997 0.000 0.000
0.000 4.997 0.000
0.000 0.000 4.997
Sb F
4 1
direct
0.000 0.000 0.000
0.000 0.500 0.500
0.500 0.000 0.500
0.500 0.500 0.000
0.500 0.500 0.500
```

=====

Below is Y3TmSi2C after structural relaxation, with properties calculated at the PBE level.

Calculated values
Density of states at the Fermi level, states/eV/f.u.: 0.83
VASP energy, eV per atom: -6.8581
Symmetry: Immm, No. 71

Cell and atoms, written as POSCAR:
```
Y3TmSi2C
1.0
4.624 0.000 0.000
0.000 4.667 0.000
0.000 0.000 15.102
Y Tm Si C
6 2 4 2
direct
0.000 0.000 0.000
0.000 0.500 0.169
0.000 0.500 0.831
0.500 0.000 0.331
0.500 0.000 0.669
0.500 0.500 0.500
0.000 0.000 0.500
0.500 0.500 0.000
0.000 0.500 0.364
0.000 0.500 0.636
0.500 0.000 0.136
0.500 0.000 0.864
0.000 0.500 0.000
0.500 0.000 0.500
```

=====

Below is Rb2YBi2 after structural relaxation, with properties calculated at the PBE level.

Calculated values
Formation energy, eV per atom: -0.03
Density of states at the Fermi level, states/eV/f.u.: 3.70
Symmetry: I4/mmm, No. 139

Cell and atoms, written as POSCAR:
```
Rb2YBi2
1.0
4.657 0.000 0.000
0.000 4.657 0.000
0.000 0.000 17.186
Rb Y Bi
4 2 4
direct
0.000 0.500 0.250
0.000 0.500 0.750
0.500 0.000 0.250
0.500 0.000 0.750
0.000 0.000 0.000
0.500 0.500 0.500
0.000 0.000 0.411
0.000 0.000 0.589
0.500 0.500 0.089
0.500 0.500 0.911
```

=====

Below is TlHgB after structural relaxation, with properties calculated at the PBE level.

Calculated values
Formation energy, eV per atom: 0.34
Density of states at the Fermi level, states/eV/f.u.: 0.56
Symmetry: Pnma, No. 62

Cell and atoms, written as POSCAR:
```
TlHgB
1.0
13.580 0.000 0.000
0.000 3.200 0.000
0.000 0.000 6.527
Tl Hg B
4 4 4
direct
0.096 0.250 0.130
0.404 0.750 0.630
0.596 0.250 0.370
0.904 0.750 0.870
0.177 0.750 0.662
0.323 0.250 0.162
0.677 0.750 0.838
0.823 0.250 0.338
0.000 0.000 0.500
0.000 0.500 0.500
0.500 0.000 0.000
0.500 0.500 0.000
```

=====

Below is Be2SbIrPb after structural relaxation, with properties calculated at the PBE level.

Calculated values
Density of states at the Fermi level, states/eV/f.u.: 4.34
VASP energy, eV per atom: -3.5114
Symmetry: P4/mmm, No. 123

Cell and atoms, written as POSCAR:
```
Be2SbIrPb
1.0
4.442 0.000 0.000
0.000 4.442 0.000
0.000 0.000 5.419
Be Sb Ir Pb
2 1 1 1
direct
0.000 0.500 0.000
0.500 0.000 0.000
0.000 0.000 0.500
0.500 0.500 0.500
0.500 0.500 0.000
```

=====

Q: The lowest density of states at the Fermi level belongs to which entry?
A: TlHgB